ZrGa2Hg after structural relaxation, computed with GGA-PBE.

Mass density (g cm⁻³): 8.6
Spin magnetization (μB per formula unit): 0.00
Total DFT energy (no corrections) (hartree per atom): -0.139

Lattice parameters (Å, degrees): 6.069 6.069 6.069 104.07 104.07 120.91
Positions (direct):
Zr (0.000, 0.000, 0.000)
Zr (0.750, 0.250, 0.500)
Ga (0.140, 0.125, 0.515)
Ga (0.375, 0.860, 0.985)
Ga (0.610, 0.625, 0.485)
Ga (0.875, 0.390, 0.015)
Hg (0.250, 0.750, 0.500)
Hg (0.500, 0.500, 0.000)


Nd2Zn3CoCu12 after structural relaxation, computed with GGA-PBE.

Mass density (g cm⁻³): 7.4
Spin magnetization (μB per formula unit): 0.56
Total DFT energy (no corrections) (hartree per atom): -0.136

Lattice parameters (Å, degrees): 9.657 9.657 9.657 37.11 37.11 37.11
Positions (direct):
Nd (0.151, 0.151, 0.151)
Nd (0.849, 0.849, 0.849)
Zn (0.000, 0.500, 0.500)
Zn (0.500, 0.000, 0.500)
Zn (0.500, 0.500, 0.000)
Co (0.500, 0.500, 0.500)
Cu (0.080, 0.080, 0.688)
Cu (0.080, 0.688, 0.080)
Cu (0.151, 0.569, 0.569)
Cu (0.312, 0.920, 0.920)
Cu (0.431, 0.431, 0.849)
Cu (0.431, 0.849, 0.431)
Cu (0.569, 0.151, 0.569)
Cu (0.569, 0.569, 0.151)
Cu (0.688, 0.080, 0.080)
Cu (0.849, 0.431, 0.431)
Cu (0.920, 0.312, 0.920)
Cu (0.920, 0.920, 0.312)


DyU3Tl4Se8 after structural relaxation, computed with GGA-PBE.

Uncorrected formation energy (eV/atom): -0.994
Mass density (g cm⁻³): 8.1
Spin magnetization (μB per formula unit): 9.00

Lattice parameters (Å, degrees): 9.223 9.223 9.223 53.85 53.85 53.85
Positions (direct):
Dy (0.000, 0.000, 0.000)
U (0.000, 0.500, 0.500)
U (0.500, 0.000, 0.500)
U (0.500, 0.500, 0.000)
Tl (0.000, 0.000, 0.500)
Tl (0.000, 0.500, 0.000)
Tl (0.500, 0.000, 0.000)
Tl (0.500, 0.500, 0.500)
Se (0.234, 0.234, 0.737)
Se (0.234, 0.737, 0.234)
Se (0.263, 0.766, 0.766)
Se (0.265, 0.265, 0.265)
Se (0.735, 0.735, 0.735)
Se (0.737, 0.234, 0.234)
Se (0.766, 0.263, 0.766)
Se (0.766, 0.766, 0.263)


AsWCl2 after structural relaxation, computed with GGA-PBE.

Uncorrected formation energy (eV/atom): 0.153
Mass density (g cm⁻³): 5.5
ΔE to the lowest computed polymorph (meV/atom): 405.0
Spin magnetization (μB per formula unit): 0.00

Lattice parameters (Å, degrees): 7.762 7.762 7.762 158.47 144.11 42.24
Positions (direct):
As (0.000, 0.000, 0.000)
W (0.852, 0.352, 0.500)
Cl (0.351, 0.851, 0.500)
Cl (0.717, 0.717, 0.000)


K2PuF6 after structural relaxation, computed with GGA-PBE.

Uncorrected formation energy (eV/atom): -3.263
Mass density (g cm⁻³): 3.7
Spin magnetization (μB per formula unit): 4.00

Lattice parameters (Å, degrees): 5.743 5.743 11.720 90.00 90.00 90.00
Positions (direct):
K (0.000, 0.000, 0.164)
K (0.000, 0.000, 0.836)
K (0.500, 0.500, 0.336)
K (0.500, 0.500, 0.664)
Pu (0.000, 0.000, 0.500)
Pu (0.500, 0.500, 0.000)
F (0.178, 0.178, 0.363)
F (0.178, 0.178, 0.637)
F (0.234, 0.234, 0.000)
F (0.266, 0.734, 0.500)
F (0.322, 0.678, 0.137)
F (0.322, 0.678, 0.863)
F (0.678, 0.322, 0.137)
F (0.678, 0.322, 0.863)
F (0.734, 0.266, 0.500)
F (0.766, 0.766, 0.000)
F (0.822, 0.822, 0.363)
F (0.822, 0.822, 0.637)


LiZrMn2 after structural relaxation, computed with GGA-PBE.

Mass density (g cm⁻³): 5.6
Spin magnetization (μB per formula unit): 4.82
Total DFT energy (no corrections) (hartree per atom): -0.256

Lattice parameters (Å, degrees): 4.005 4.005 3.840 90.00 90.00 90.00
Positions (direct):
Li (0.000, 0.000, 0.000)
Zr (0.500, 0.500, 0.000)
Mn (0.000, 0.500, 0.500)
Mn (0.500, 0.000, 0.500)


Question: The highest spin magnetization belongs to which entry?
Answer: DyU3Tl4Se8


Question: Among the records above, which one has the highest spin magnetization?
Answer: DyU3Tl4Se8